# BeAl | Alexandria via LeMat-Bulk | PBE | optimized geometry
data_BeAl
_symmetry_space_group_name_H-M 'P 1'
_symmetry_Int_Tables_number 1
_symmetry_space_group_name_Hall 'P 1'
_cell_length_a 5.374
_cell_length_b 5.374
_cell_length_c 5.374
_cell_angle_alpha 152.68
_cell_angle_beta 133.36
_cell_angle_gamma 54.90
loop_
_atom_site_label
_atom_site_type_symbol
_atom_site_fract_x
_atom_site_fract_y
_atom_site_fract_z
_atom_site_occupancy
Be1 Be 0.401 0.151 0.250 1
Be2 Be 0.599 0.849 0.750 1
Al1 Al 0.148 0.398 0.750 1
Al2 Al 0.852 0.602 0.250 1
# density	2321	kg/m3
# total magnetization	0.00	Bohr magnetons per cell
# E_tot	-3.45	eV per atom
# symmetry	No. 74

---

# BeAl | Alexandria via LeMat-Bulk | PBE | optimized geometry
data_BeAl
_symmetry_space_group_name_H-M 'P 1'
_symmetry_Int_Tables_number 1
_symmetry_space_group_name_Hall 'P 1'
_cell_length_a 4.319
_cell_length_b 4.319
_cell_length_c 4.319
_cell_angle_alpha 130.08
_cell_angle_beta 84.31
_cell_angle_gamma 117.09
loop_
_atom_site_label
_atom_site_type_symbol
_atom_site_fract_x
_atom_site_fract_y
_atom_site_fract_z
_atom_site_occupancy
Be1 Be 0.000 0.000 0.000 1
Be2 Be 0.725 0.225 0.500 1
Al1 Al 0.006 0.712 0.294 1
Al2 Al 0.418 0.712 0.706 1
# density	2273	kg/m3
# total magnetization	0.00	Bohr magnetons per cell
# E_tot	-3.49	eV per atom
# symmetry	No. 44

---

# BeAl | Alexandria via LeMat-Bulk | PBE | optimized geometry
data_BeAl
_symmetry_space_group_name_H-M 'P 1'
_symmetry_Int_Tables_number 1
_symmetry_space_group_name_Hall 'P 1'
_cell_length_a 6.354
_cell_length_b 6.354
_cell_length_c 6.354
_cell_angle_alpha 109.47
_cell_angle_beta 109.47
_cell_angle_gamma 109.47
loop_
_atom_site_label
_atom_site_type_symbol
_atom_site_fract_x
_atom_site_fract_y
_atom_site_fract_z
_atom_site_occupancy
Be1 Be 0.000 0.000 0.622 1
Be2 Be 0.000 0.622 0.000 1
Be3 Be 0.378 0.378 0.378 1
Be4 Be 0.622 0.000 0.000 1
Al1 Al 0.000 0.000 0.262 1
Al2 Al 0.000 0.262 0.000 1
Al3 Al 0.262 0.000 0.000 1
Al4 Al 0.738 0.738 0.738 1
# density	1211	kg/m3
# total magnetization	0.00	Bohr magnetons per cell
# E_tot	-2.84	eV per atom
# symmetry	No. 217

---

# Be2Al | Alexandria via LeMat-Bulk | PBE | optimized geometry
data_Be2Al
_symmetry_space_group_name_H-M 'P 1'
_symmetry_Int_Tables_number 1
_symmetry_space_group_name_Hall 'P 1'
_cell_length_a 2.628
_cell_length_b 2.628
_cell_length_c 5.759
_cell_angle_alpha 90.00
_cell_angle_beta 90.00
_cell_angle_gamma 120.00
loop_
_atom_site_label
_atom_site_type_symbol
_atom_site_fract_x
_atom_site_fract_y
_atom_site_fract_z
_atom_site_occupancy
Be1 Be 0.333 0.667 0.355 1
Be2 Be 0.667 0.333 0.645 1
Al1 Al 0.000 0.000 0.000 1
# ΔE to the lowest computed polymorph	226.0	meV/atom
# density	2170	kg/m3
# total magnetization	0.00	Bohr magnetons per cell
# E_tot	-3.45	eV per atom
# symmetry	No. 164

---

# BeAl8 | Alexandria via LeMat-Bulk | PBE | optimized geometry
data_BeAl8
_symmetry_space_group_name_H-M 'P 1'
_symmetry_Int_Tables_number 1
_symmetry_space_group_name_Hall 'P 1'
_cell_length_a 6.241
_cell_length_b 6.241
_cell_length_c 6.241
_cell_angle_alpha 95.93
_cell_angle_beta 95.93
_cell_angle_gamma 142.51
loop_
_atom_site_label
_atom_site_type_symbol
_atom_site_fract_x
_atom_site_fract_y
_atom_site_fract_z
_atom_site_occupancy
Be1 Be 0.000 0.000 0.000 1
Al1 Al 0.000 0.328 0.328 1
Al2 Al 0.000 0.672 0.672 1
Al3 Al 0.328 0.000 0.328 1
Al4 Al 0.338 0.338 0.676 1
Al5 Al 0.338 0.662 0.000 1
Al6 Al 0.662 0.338 0.000 1
Al7 Al 0.662 0.662 0.324 1
Al8 Al 0.672 0.000 0.672 1
# density	2664	kg/m3
# total magnetization	0.00	Bohr magnetons per cell
# E_tot	-3.66	eV per atom
# symmetry	No. 139

---

# BeAl | Alexandria via LeMat-Bulk | PBE | optimized geometry
data_BeAl
_symmetry_space_group_name_H-M 'P 1'
_symmetry_Int_Tables_number 1
_symmetry_space_group_name_Hall 'P 1'
_cell_length_a 4.467
_cell_length_b 4.467
_cell_length_c 3.553
_cell_angle_alpha 113.13
_cell_angle_beta 113.13
_cell_angle_gamma 59.06
loop_
_atom_site_label
_atom_site_type_symbol
_atom_site_fract_x
_atom_site_fract_y
_atom_site_fract_z
_atom_site_occupancy
Be1 Be 0.246 0.754 0.000 1
Be2 Be 0.754 0.246 0.000 1
Al1 Al 0.196 0.196 0.693 1
Al2 Al 0.804 0.804 0.307 1
# density	2203	kg/m3
# total magnetization	0.00	Bohr magnetons per cell
# E_tot	-3.57	eV per atom
# symmetry	No. 12

---

# BeAl | Alexandria via LeMat-Bulk | PBE | optimized geometry
data_BeAl
_symmetry_space_group_name_H-M 'P 1'
_symmetry_Int_Tables_number 1
_symmetry_space_group_name_Hall 'P 1'
_cell_length_a 4.652
_cell_length_b 4.652
_cell_length_c 5.413
_cell_angle_alpha 90.00
_cell_angle_beta 90.00
_cell_angle_gamma 90.00
loop_
_atom_site_label
_atom_site_type_symbol
_atom_site_fract_x
_atom_site_fract_y
_atom_site_fract_z
_atom_site_occupancy
Be1 Be 0.174 0.174 0.000 1
Be2 Be 0.326 0.674 0.500 1
Be3 Be 0.674 0.326 0.500 1
Be4 Be 0.826 0.826 0.000 1
Al1 Al 0.190 0.190 0.500 1
Al2 Al 0.310 0.690 0.000 1
Al3 Al 0.690 0.310 0.000 1
Al4 Al 0.810 0.810 0.500 1
# density	2041	kg/m3
# total magnetization	0.00	Bohr magnetons per cell
# E_tot	-3.18	eV per atom
# symmetry	No. 136

---

# BeAl | Alexandria via LeMat-Bulk | PBE | optimized geometry
data_BeAl
_symmetry_space_group_name_H-M 'P 1'
_symmetry_Int_Tables_number 1
_symmetry_space_group_name_Hall 'P 1'
_cell_length_a 2.661
_cell_length_b 2.661
_cell_length_c 3.567
_cell_angle_alpha 90.00
_cell_angle_beta 90.00
_cell_angle_gamma 90.00
loop_
_atom_site_label
_atom_site_type_symbol
_atom_site_fract_x
_atom_site_fract_y
_atom_site_fract_z
_atom_site_occupancy
Be1 Be 0.000 0.000 0.000 1
Al1 Al 0.500 0.500 0.500 1
# density	2367	kg/m3
# total magnetization	0.00	Bohr magnetons per cell
# E_tot	-3.48	eV per atom
# symmetry	No. 123

---

# Be2Al | Alexandria via LeMat-Bulk | PBE | optimized geometry
data_Be2Al
_symmetry_space_group_name_H-M 'P 1'
_symmetry_Int_Tables_number 1
_symmetry_space_group_name_Hall 'P 1'
_cell_length_a 4.015
_cell_length_b 4.015
_cell_length_c 4.886
_cell_angle_alpha 90.00
_cell_angle_beta 90.00
_cell_angle_gamma 120.00
loop_
_atom_site_label
_atom_site_type_symbol
_atom_site_fract_x
_atom_site_fract_y
_atom_site_fract_z
_atom_site_occupancy
Be1 Be 0.000 0.000 0.000 1
Be2 Be 0.000 0.000 0.500 1
Be3 Be 0.333 0.667 0.250 1
Be4 Be 0.667 0.333 0.750 1
Al1 Al 0.333 0.667 0.750 1
Al2 Al 0.667 0.333 0.250 1
# ΔE to the lowest computed polymorph	346.4	meV/atom
# density	2191	kg/m3
# total magnetization	0.00	Bohr magnetons per cell
# E_tot	-3.32	eV per atom
# symmetry	No. 194

---

# BeAl | Alexandria via LeMat-Bulk | PBE | optimized geometry
data_BeAl
_symmetry_space_group_name_H-M 'P 1'
_symmetry_Int_Tables_number 1
_symmetry_space_group_name_Hall 'P 1'
_cell_length_a 3.801
_cell_length_b 3.801
_cell_length_c 4.249
_cell_angle_alpha 90.00
_cell_angle_beta 90.00
_cell_angle_gamma 120.00
loop_
_atom_site_label
_atom_site_type_symbol
_atom_site_fract_x
_atom_site_fract_y
_atom_site_fract_z
_atom_site_occupancy
Be1 Be 0.000 0.000 0.000 1
Be2 Be 0.000 0.000 0.500 1
Al1 Al 0.333 0.667 0.250 1
Al2 Al 0.667 0.333 0.750 1
# density	2248	kg/m3
# total magnetization	0.00	Bohr magnetons per cell
# E_tot	-3.58	eV per atom
# symmetry	No. 194

---

# Be2Al | Alexandria via LeMat-Bulk | PBE | optimized geometry
data_Be2Al
_symmetry_space_group_name_H-M 'P 1'
_symmetry_Int_Tables_number 1
_symmetry_space_group_name_Hall 'P 1'
_cell_length_a 4.460
_cell_length_b 4.460
_cell_length_c 4.460
_cell_angle_alpha 60.00
_cell_angle_beta 60.00
_cell_angle_gamma 60.00
loop_
_atom_site_label
_atom_site_type_symbol
_atom_site_fract_x
_atom_site_fract_y
_atom_site_fract_z
_atom_site_occupancy
Be1 Be 0.000 0.000 0.000 1
Be2 Be 0.000 0.000 0.500 1
Be3 Be 0.000 0.500 0.000 1
Be4 Be 0.500 0.000 0.000 1
Al1 Al 0.375 0.375 0.375 1
Al2 Al 0.625 0.625 0.625 1
# ΔE to the lowest computed polymorph	3.1	meV/atom
# density	2382	kg/m3
# total magnetization	0.00	Bohr magnetons per cell
# E_tot	-3.67	eV per atom
# symmetry	No. 227

---

# Be2Al | Alexandria via LeMat-Bulk | PBE | optimized geometry
data_Be2Al
_symmetry_space_group_name_H-M 'P 1'
_symmetry_Int_Tables_number 1
_symmetry_space_group_name_Hall 'P 1'
_cell_length_a 3.711
_cell_length_b 3.711
_cell_length_c 2.767
_cell_angle_alpha 90.00
_cell_angle_beta 90.00
_cell_angle_gamma 120.00
loop_
_atom_site_label
_atom_site_type_symbol
_atom_site_fract_x
_atom_site_fract_y
_atom_site_fract_z
_atom_site_occupancy
Be1 Be 0.333 0.667 0.000 1
Be2 Be 0.667 0.333 0.000 1
Al1 Al 0.000 0.000 0.500 1
# ΔE to the lowest computed polymorph	159.5	meV/atom
# density	2265	kg/m3
# total magnetization	0.00	Bohr magnetons per cell
# E_tot	-3.51	eV per atom
# symmetry	No. 191

---

# BeAl5 | Alexandria via LeMat-Bulk | PBE | optimized geometry
data_BeAl5
_symmetry_space_group_name_H-M 'P 1'
_symmetry_Int_Tables_number 1
_symmetry_space_group_name_Hall 'P 1'
_cell_length_a 4.840
_cell_length_b 4.840
_cell_length_c 4.536
_cell_angle_alpha 90.00
_cell_angle_beta 90.00
_cell_angle_gamma 120.00
loop_
_atom_site_label
_atom_site_type_symbol
_atom_site_fract_x
_atom_site_fract_y
_atom_site_fract_z
_atom_site_occupancy
Be1 Be 0.000 0.000 0.000 1
Al1 Al 0.000 0.676 0.500 1
Al2 Al 0.324 0.324 0.500 1
Al3 Al 0.333 0.667 0.000 1
Al4 Al 0.667 0.333 0.000 1
Al5 Al 0.676 0.000 0.500 1
# ΔE to the lowest computed polymorph	94.1	meV/atom
# density	2596	kg/m3
# total magnetization	0.00	Bohr magnetons per cell
# E_tot	-3.58	eV per atom
# symmetry	No. 189

---

# BeAl | Alexandria via LeMat-Bulk | PBE | optimized geometry
data_BeAl
_symmetry_space_group_name_H-M 'P 1'
_symmetry_Int_Tables_number 1
_symmetry_space_group_name_Hall 'P 1'
_cell_length_a 3.728
_cell_length_b 3.728
_cell_length_c 5.016
_cell_angle_alpha 90.00
_cell_angle_beta 90.00
_cell_angle_gamma 120.00
loop_
_atom_site_label
_atom_site_type_symbol
_atom_site_fract_x
_atom_site_fract_y
_atom_site_fract_z
_atom_site_occupancy
Be1 Be 0.333 0.667 0.250 1
Be2 Be 0.667 0.333 0.750 1
Al1 Al 0.000 0.000 0.000 1
Al2 Al 0.000 0.000 0.500 1
# density	1980	kg/m3
# total magnetization	0.00	Bohr magnetons per cell
# E_tot	-3.17	eV per atom
# symmetry	No. 194

---

# Be2Al | Alexandria via LeMat-Bulk | PBE | optimized geometry
data_Be2Al
_symmetry_space_group_name_H-M 'P 1'
_symmetry_Int_Tables_number 1
_symmetry_space_group_name_Hall 'P 1'
_cell_length_a 5.971
_cell_length_b 5.971
_cell_length_c 5.971
_cell_angle_alpha 144.45
_cell_angle_beta 144.45
_cell_angle_gamma 51.15
loop_
_atom_site_label
_atom_site_type_symbol
_atom_site_fract_x
_atom_site_fract_y
_atom_site_fract_z
_atom_site_occupancy
Be1 Be 0.281 0.531 0.750 1
Be2 Be 0.469 0.719 0.750 1
Be3 Be 0.531 0.281 0.250 1
Be4 Be 0.719 0.469 0.250 1
Al1 Al 0.125 0.875 0.250 1
Al2 Al 0.875 0.125 0.750 1
# ΔE to the lowest computed polymorph	348.0	meV/atom
# density	2089	kg/m3
# total magnetization	0.00	Bohr magnetons per cell
# E_tot	-3.32	eV per atom
# symmetry	No. 141

---

# BeAl | Alexandria via LeMat-Bulk | PBE | optimized geometry
data_BeAl
_symmetry_space_group_name_H-M 'P 1'
_symmetry_Int_Tables_number 1
_symmetry_space_group_name_Hall 'P 1'
_cell_length_a 7.149
_cell_length_b 7.149
_cell_length_c 3.689
_cell_angle_alpha 90.00
_cell_angle_beta 90.00
_cell_angle_gamma 120.00
loop_
_atom_site_label
_atom_site_type_symbol
_atom_site_fract_x
_atom_site_fract_y
_atom_site_fract_z
_atom_site_occupancy
Be1 Be 0.052 0.199 0.250 1
Be2 Be 0.147 0.948 0.250 1
Be3 Be 0.199 0.147 0.750 1
Be4 Be 0.801 0.853 0.250 1
Be5 Be 0.853 0.052 0.750 1
Be6 Be 0.948 0.801 0.750 1
Al1 Al 0.113 0.446 0.750 1
Al2 Al 0.334 0.887 0.750 1
Al3 Al 0.446 0.334 0.250 1
Al4 Al 0.554 0.666 0.750 1
Al5 Al 0.666 0.113 0.250 1
Al6 Al 0.887 0.554 0.250 1
# density	2196	kg/m3
# total magnetization	0.00	Bohr magnetons per cell
# E_tot	-3.50	eV per atom
# symmetry	No. 176

---

# BeAl3 | Alexandria via LeMat-Bulk | PBE | optimized geometry
data_BeAl3
_symmetry_space_group_name_H-M 'P 1'
_symmetry_Int_Tables_number 1
_symmetry_space_group_name_Hall 'P 1'
_cell_length_a 4.921
_cell_length_b 4.921
_cell_length_c 4.921
_cell_angle_alpha 90.00
_cell_angle_beta 90.00
_cell_angle_gamma 90.00
loop_
_atom_site_label
_atom_site_type_symbol
_atom_site_fract_x
_atom_site_fract_y
_atom_site_fract_z
_atom_site_occupancy
Be1 Be 0.000 0.000 0.000 1
Be2 Be 0.500 0.500 0.500 1
Al1 Al 0.000 0.250 0.500 1
Al2 Al 0.000 0.750 0.500 1
Al3 Al 0.250 0.500 0.000 1
Al4 Al 0.500 0.000 0.250 1
Al5 Al 0.500 0.000 0.750 1
Al6 Al 0.750 0.500 0.000 1
# density	2506	kg/m3
# total magnetization	0.00	Bohr magnetons per cell
# E_tot	-3.51	eV per atom
# symmetry	No. 223

---

# Be2Al | Alexandria via LeMat-Bulk | PBE | optimized geometry
data_Be2Al
_symmetry_space_group_name_H-M 'P 1'
_symmetry_Int_Tables_number 1
_symmetry_space_group_name_Hall 'P 1'
_cell_length_a 3.873
_cell_length_b 3.873
_cell_length_c 3.873
_cell_angle_alpha 60.00
_cell_angle_beta 60.00
_cell_angle_gamma 60.00
loop_
_atom_site_label
_atom_site_type_symbol
_atom_site_fract_x
_atom_site_fract_y
_atom_site_fract_z
_atom_site_occupancy
Be1 Be 0.250 0.250 0.250 1
Be2 Be 0.750 0.750 0.750 1
Al1 Al 0.000 0.000 0.000 1
# ΔE to the lowest computed polymorph	505.8	meV/atom
# density	1819	kg/m3
# total magnetization	0.00	Bohr magnetons per cell
# E_tot	-3.17	eV per atom
# symmetry	No. 225

---

# BeAl3 | Alexandria via LeMat-Bulk | PBE | optimized geometry
data_BeAl3
_symmetry_space_group_name_H-M 'P 1'
_symmetry_Int_Tables_number 1
_symmetry_space_group_name_Hall 'P 1'
_cell_length_a 4.766
_cell_length_b 4.766
_cell_length_c 2.745
_cell_angle_alpha 90.00
_cell_angle_beta 90.00
_cell_angle_gamma 109.60
loop_
_atom_site_label
_atom_site_type_symbol
_atom_site_fract_x
_atom_site_fract_y
_atom_site_fract_z
_atom_site_occupancy
Be1 Be 0.000 0.000 0.000 1
Al1 Al 0.000 0.500 0.500 1
Al2 Al 0.500 0.000 0.500 1
Al3 Al 0.500 0.500 0.000 1
# density	2544	kg/m3
# total magnetization	0.00	Bohr magnetons per cell
# E_tot	-3.58	eV per atom
# symmetry	No. 65

---

# BeAl3 | Alexandria via LeMat-Bulk | PBE | optimized geometry
data_BeAl3
_symmetry_space_group_name_H-M 'P 1'
_symmetry_Int_Tables_number 1
_symmetry_space_group_name_Hall 'P 1'
_cell_length_a 2.753
_cell_length_b 2.761
_cell_length_c 8.145
_cell_angle_alpha 90.00
_cell_angle_beta 90.00
_cell_angle_gamma 90.00
loop_
_atom_site_label
_atom_site_type_symbol
_atom_site_fract_x
_atom_site_fract_y
_atom_site_fract_z
_atom_site_occupancy
Be1 Be 0.000 0.000 0.000 1
Al1 Al 0.000 0.500 0.492 1
Al2 Al 0.500 0.000 0.745 1
Al3 Al 0.500 0.500 0.193 1
# density	2412	kg/m3
# total magnetization	0.00	Bohr magnetons per cell
# E_tot	-3.56	eV per atom
# symmetry	No. 25